# GGA-PBEsol NaTe2N2, relaxed
data_NaTe2N2
_chemical_formula_sum 'Na1 Te2 N2'
_space_group_name_H-M_alt 'P 4/m m m'
_space_group_IT_number 123
_space_group_name_Hall '-P 4 2'
_cell_length_a 4.118
_cell_length_b 4.118
_cell_length_c 5.951
_cell_angle_alpha 90.00
_cell_angle_beta 90.00
_cell_angle_gamma 90.00
loop_
_atom_site_label
_atom_site_type_symbol
_atom_site_fract_x
_atom_site_fract_y
_atom_site_fract_z
Na1 Na 0.000 0.000 0.000
Te1 Te 0.500 0.500 0.000
Te2 Te 0.500 0.500 0.500
N1 N 0.000 0.500 0.500
# energy = -20.318 eV per cell
# magnetic moment = 1.5 μB per formula unit
# formation energy from raw total energies = 1037 meV per atom